## Na2CaCo3F12 (PBE+U)

Data for a relaxed structure of Na2CaCo3F12.

```
Na2CaCo3F12
1.0
6.7655 -0.2397 -0.1700
3.1327 6.0013 -0.1700
3.1327 1.8235 5.7201
F Na Ca Co
12 2 1 3
Cartesian
7.5286 1.8020 4.0121 F
7.5286 4.3823 0.3743 F
5.5022 5.7830 1.3678 F
7.7459 1.9285 1.3678 F
5.2850 5.6566 4.0121 F
5.5022 3.2027 5.0057 F
9.8920 3.8852 4.7401 F
3.1389 1.8271 3.2802 F
9.8920 5.7579 2.0997 F
8.2635 6.6828 4.7401 F
3.1389 3.6998 0.6399 F
4.7673 0.9022 0.6399 F
8.3238 4.8452 3.4366 Na
4.7070 2.7399 1.9434 Na
0.0000 0.0000 0.0000 Ca
1.5663 3.0006 -0.0850 Co
3.3827 -0.1199 -0.0850 Co
1.5663 0.9117 2.8600 Co
```

- magnetic moment (Bohr magnetons per cell) = 1.0
- uncorrected energy (eV per cell) = -84.3
- mass density (g/cm3) = 3.382